--- P ---
Computed, not measured: a relaxed structure of Sc2PaTi at the PBE-GGA level of DFT.

Cell: 5.019 5.019 5.019 Å, 60.00 60.00 60.00°
Atoms (fractional coordinates):
Sc  0.250  0.250  0.250
Sc  0.750  0.750  0.750
Pa  0.000  0.000  0.000
Ti  0.500  0.500  0.500

--- Q ---
Computed, not measured: a relaxed structure of Sc2PaTi at the PBE-GGA level of DFT.

Cell: 4.331 4.331 4.732 Å, 90.00 90.00 90.00°
Atoms (fractional coordinates):
Sc  0.000  0.500  0.000
Sc  0.500  0.000  0.000
Pa  0.000  0.000  0.500
Ti  0.500  0.500  0.500

--- R ---
Computed, not measured: a relaxed structure of Sc2PaTi at the PBE-GGA level of DFT.

Cell: 3.082 3.082 9.398 Å, 90.00 90.00 90.00°
Atoms (fractional coordinates):
Sc  0.000  0.000  0.230
Sc  0.000  0.000  0.770
Pa  0.500  0.500  0.500
Ti  0.500  0.500  0.000

Decreasing stability: Q, R, P

--- P ---
Computed, not measured: a relaxed structure of ScPa2Ti at the PBE-GGA level of DFT.

Cell: 5.080 5.080 5.080 Å, 59.57 59.57 59.57°
Atoms (fractional coordinates):
Sc  0.000  0.000  0.000
Pa  0.250  0.250  0.250
Pa  0.750  0.750  0.750
Ti  0.500  0.500  0.500

--- Q ---
Computed, not measured: a relaxed structure of ScPa2Ti at the PBE-GGA level of DFT.

Cell: 10.778 10.778 10.778 Å, 16.78 16.78 16.78°
Atoms (fractional coordinates):
Sc  0.000  0.000  0.000
Pa  0.248  0.248  0.248
Pa  0.421  0.421  0.421
Ti  0.834  0.834  0.834

Decreasing stability: Q, P

--- P ---
Computed, not measured: a relaxed structure of ScPa2Ti at the PBE-GGA level of DFT.

Cell: 3.050 3.050 9.788 Å, 90.00 90.00 90.00°
Atoms (fractional coordinates):
Sc  0.000  0.000  0.000
Pa  0.500  0.500  0.265
Pa  0.500  0.500  0.735
Ti  0.000  0.000  0.500

--- Q ---
Computed, not measured: a relaxed structure of ScPa2Ti at the PBE-GGA level of DFT.

Cell: 4.333 4.333 4.847 Å, 90.00 90.00 90.00°
Atoms (fractional coordinates):
Sc  0.000  0.000  0.000
Pa  0.000  0.500  0.500
Pa  0.500  0.000  0.500
Ti  0.500  0.500  0.000

Decreasing stability: P, Q